DFT (GGA-PBE) results for an optimized crystal structure of LaPr2Tm5Th.

Properties
**Total energy**: -83.5 eV for the cell shown
**Energy of formation**: 0.277 eV/atom
**Magnetization**: 0.0 μB per cell
**Space-group type**: I4/mcm

Geometry as POSCAR:
```
LaPr2Tm5Th
1.0
-4.335 4.335 7.779
4.335 -4.335 7.779
4.335 4.335 -7.779
La Pr Tm Th
2 4 10 2
Direct
0.250 0.750 0.500 La
0.750 0.250 0.500 La
0.117 0.617 0.734 Pr
0.383 0.117 0.500 Pr
0.617 0.883 0.500 Pr
0.883 0.383 0.266 Pr
0.000 0.000 0.000 Tm
0.074 0.148 0.500 Tm
0.148 0.648 0.075 Tm
0.352 0.426 0.500 Tm
0.426 0.926 0.075 Tm
0.500 0.500 0.000 Tm
0.574 0.074 0.925 Tm
0.648 0.574 0.500 Tm
0.852 0.352 0.925 Tm
0.926 0.852 0.500 Tm
0.250 0.250 0.000 Th
0.750 0.750 0.000 Th
```

DFT (GGA-PBE) results for an optimized crystal structure of TaMo3.

Properties
**Total energy**: -179.5 eV for the cell shown
**Energy of formation**: -0.134 eV/atom
**Magnetization**: 0.0 μB per cell
**Space-group type**: I4/mmm

Geometry as POSCAR:
```
TaMo3
1.0
4.520 0.000 0.000
0.000 4.520 0.000
0.000 0.000 12.799
Ta Mo
4 12
Direct
0.000 0.000 0.124 Ta
0.000 0.000 0.876 Ta
0.500 0.500 0.376 Ta
0.500 0.500 0.624 Ta
0.000 0.000 0.374 Mo
0.000 0.000 0.626 Mo
0.000 0.500 0.000 Mo
0.000 0.500 0.250 Mo
0.000 0.500 0.500 Mo
0.000 0.500 0.750 Mo
0.500 0.000 0.000 Mo
0.500 0.000 0.250 Mo
0.500 0.000 0.500 Mo
0.500 0.000 0.750 Mo
0.500 0.500 0.126 Mo
0.500 0.500 0.874 Mo
```

DFT (GGA-PBE) results for an optimized crystal structure of RuWSe2N.

Properties
**Total energy**: -32.5 eV for the cell shown
**E_form (uncorrected)**: 1.00 eV per atom
**Magnetization**: 0.0 μB per cell
**Energy above the lowest structure with this stoichiometry**: 208 meV/atom
**Space-group type**: P4/mmm

Geometry as POSCAR:
```
RuWSe2N
1.0
4.490 0.000 0.000
0.000 4.490 0.000
0.000 0.000 3.877
Ru W Se N
1 1 2 1
Direct
0.000 0.000 0.000 Ru
0.500 0.500 0.000 W
0.000 0.500 0.500 Se
0.500 0.000 0.500 Se
0.500 0.500 0.500 N
```

DFT (GGA-PBE) results for an optimized crystal structure of Mg2Cr3InS8.

Properties
**Total energy**: -80.0 eV for the cell shown
**E_form (uncorrected)**: -0.87 eV per atom
**Magnetization**: 9.0 μB per cell
**Space-group type**: R-3m

Geometry as POSCAR:
```
Mg2Cr3InS8
1.0
3.645 2.104 6.061
-3.645 2.104 6.061
0.000 -4.209 6.061
Mg Cr In S
2 3 1 8
Direct
0.125 0.125 0.125 Mg
0.875 0.875 0.875 Mg
0.000 0.500 0.500 Cr
0.500 0.000 0.500 Cr
0.500 0.500 0.000 Cr
0.500 0.500 0.500 In
0.250 0.250 0.716 S
0.250 0.716 0.250 S
0.263 0.263 0.263 S
0.284 0.750 0.750 S
0.716 0.250 0.250 S
0.737 0.737 0.737 S
0.750 0.284 0.750 S
0.750 0.750 0.284 S
```

Number 1: volume 32.5 Å³ per atom. Number 2: volume 16.3 Å³ per atom. Number 3: volume 15.6 Å³ per atom. Number 4: volume 19.9 Å³ per atom.